An optimized crystal structure of BTeP2. Source: Alexandria via LeMat-Bulk, functional GGA-PBE.

abc: 5.9191 5.9191 5.8224
angles: 59.45 59.45 90.00
With the nearest neighbours (Å) after each atom.
Fractional positions:
1 B 0.2500 0.7500 0.5000  4 P 1.99
2 Te 0.7500 0.2500 0.5000  4 P 2.75
3 Te 0.0000 0.0000 0.0000  4 P 2.75
4 P 0.5223 0.1250 0.2500  2 B 1.99
5 B 0.5000 0.5000 0.0000  4 P 1.99
6 P 0.2277 0.6250 0.2500  2 B 1.99
7 P 0.3750 0.4777 0.7500  2 B 1.99
8 P 0.8750 0.7723 0.7500  2 B 1.99

Properties
**Magnetization**: 0.000 μB per atom
**E_form (uncorrected)**: 308 meV per atom
**Offset from the most stable computed form**: 0.000 eV per formula unit
**Crystal system**: tetragonal
**Calculated volume**: 17.726 Å³ per atom
**Final energy**: -38.81 eV/cell
**Symmetry**: No. 122


An optimized crystal structure of B3TeP. Source: Alexandria via LeMat-Bulk, functional GGA-PBE.

abc: 4.4105 4.4105 4.4105
angles: 90.00 90.00 90.00
With the nearest neighbours (Å) after each atom.
Fractional positions:
1 B 0.5000 0.0000 0.0000  2 Te 2.21
2 B 0.0000 0.0000 0.5000  2 Te 2.21
3 P 0.5000 0.5000 0.5000  12 B 3.12
4 B 0.0000 0.5000 0.0000  2 Te 2.21
5 Te 0.0000 0.0000 0.0000  6 B 2.21

Properties
**Magnetization**: 0.000 μB per atom
**E_form (uncorrected)**: 2368 meV per atom
**Offset from the most stable computed form**: 5.134 eV per formula unit
**Crystal system**: cubic
**Calculated volume**: 17.159 Å³ per atom
**Final energy**: -16.74 eV/cell
**Symmetry**: No. 221


An optimized crystal structure of TiBTeP. Source: Alexandria via LeMat-Bulk, functional GGA-PBE.

abc: 3.3336 3.3336 23.8621
angles: 90.00 90.00 120.00
With the nearest neighbours (Å) after each atom.
Fractional positions:
1 P 0.6667 0.3333 0.3851  3 B 2.03
2 Te 0.6667 0.3333 0.5509  3 Ti 2.74
3 Te 0.0000 0.0000 0.2176  3 Ti 2.74
4 P 0.3333 0.6667 0.7184  3 B 2.03
5 Ti 0.3333 0.6667 0.1360  3 B 2.35
6 P 0.0000 0.0000 0.0518  3 B 2.03
7 Te 0.3333 0.6667 0.8843  3 Ti 2.74
8 B 0.3333 0.6667 0.4128  3 P 2.03
9 Ti 0.0000 0.0000 0.4693  3 B 2.35
10 Ti 0.6667 0.3333 0.8026  3 B 2.35
11 B 0.0000 0.0000 0.7461  3 P 2.03
12 B 0.6667 0.3333 0.0794  3 P 2.03

Properties
**Magnetization**: 0.000 μB per atom
**E_form (uncorrected)**: -417 meV per atom
**Offset from the most stable computed form**: 0.000 eV per formula unit
**Crystal system**: trigonal
**Calculated volume**: 19.138 Å³ per atom
**Final energy**: -74.38 eV/cell
**Symmetry**: No. 160


An optimized crystal structure of TiBTeP. Source: Alexandria via LeMat-Bulk, functional GGA-PBE.

abc: 3.2694 3.5036 12.5780
angles: 90.00 90.00 90.00
With the nearest neighbours (Å) after each atom.
Fractional positions:
1 B 0.5000 0.0000 0.2561  2 P 1.89
2 Te 0.5000 0.0000 0.4341  1 B 2.24
3 Ti 0.0000 0.0000 0.6135  2 B 2.51, 4 P 2.54, 2 Te 2.79
4 P 0.5000 0.5000 0.6812  2 B 1.89
5 P 0.0000 0.0000 0.1812  2 B 1.89
6 Te 0.0000 0.5000 0.9341  1 B 2.24
7 Ti 0.5000 0.5000 0.1135  2 B 2.51, 4 P 2.54, 2 Te 2.79
8 B 0.0000 0.5000 0.7561  2 P 1.89

Properties
**Magnetization**: 0.000 μB per atom
**E_form (uncorrected)**: -191 meV per atom
**Offset from the most stable computed form**: 0.903 eV per formula unit
**Crystal system**: orthorhombic
**Calculated volume**: 18.009 Å³ per atom
**Final energy**: -47.78 eV/cell
**Symmetry**: No. 44


An optimized crystal structure of TiBTeP. Source: Alexandria via LeMat-Bulk, functional GGA-PBE.

abc: 5.7493 3.1798 8.6225
angles: 90.00 90.54 90.00
With the nearest neighbours (Å) after each atom.
Fractional positions:
1 P 0.7365 0.0000 0.1398  2 B 1.86
2 B 0.6522 0.0000 0.7354  2 P 1.86
3 P 0.7365 0.5000 0.6398  2 B 1.86
4 Ti 0.6781 0.0000 0.4244  2 B 2.28, 3 P 2.47-2.48
5 B 0.6522 0.5000 0.2354  2 P 1.86
6 Ti 0.6781 0.5000 0.9244  2 B 2.28, 3 P 2.47-2.48
7 Te 0.1936 0.5000 0.9373  2 Ti 2.79-2.96
8 Te 0.1936 0.0000 0.4373  2 Ti 2.79-2.96

Properties
**Magnetization**: 0.000 μB per atom
**E_form (uncorrected)**: -165 meV per atom
**Offset from the most stable computed form**: 1.009 eV per formula unit
**Crystal system**: monoclinic
**Calculated volume**: 19.703 Å³ per atom
**Final energy**: -47.57 eV/cell
**Symmetry**: No. 8


An optimized crystal structure of TiBTeP. Source: Alexandria via LeMat-Bulk, functional GGA-PBE.

abc: 3.3334 3.3334 8.3838
angles: 101.13 90.15 120.00
With the nearest neighbours (Å) after each atom.
Fractional positions:
1 P 0.6293 0.9897 0.2321  3 B 2.04
2 B 0.9896 0.7092 0.3132  3 P 2.04
3 Te 0.7903 0.3053 0.7164  3 Ti 2.74
4 Ti 0.3777 0.4832 0.4779  3 B 2.35

Properties
**Magnetization**: 0.000 μB per atom
**E_form (uncorrected)**: -417 meV per atom
**Offset from the most stable computed form**: 0.001 eV per formula unit
**Crystal system**: triclinic
**Calculated volume**: 19.655 Å³ per atom
**Final energy**: -24.79 eV/cell
**Symmetry**: No. 1


An optimized crystal structure of TiBTeP. Source: Alexandria via LeMat-Bulk, functional GGA-PBE.

abc: 6.5972 3.2517 7.7736
angles: 90.00 95.29 90.00
With the nearest neighbours (Å) after each atom.
Fractional positions:
1 Te 0.6547 0.5000 0.6752  1 B 2.28
2 Ti 0.3633 0.5000 0.3316  3 B 2.31, 1 P 2.54
3 P 0.1767 0.0000 0.5310  2 B 1.94
4 Ti 0.3633 0.0000 0.8316  3 B 2.31, 1 P 2.54
5 Te 0.6547 0.0000 0.1752  1 B 2.28
6 B 0.3084 0.5000 0.6212  2 P 1.94
7 B 0.3084 0.0000 0.1212  2 P 1.94
8 P 0.1767 0.5000 0.0310  2 B 1.94

Properties
**Magnetization**: 0.000 μB per atom
**E_form (uncorrected)**: -306 meV per atom
**Offset from the most stable computed form**: 0.445 eV per formula unit
**Crystal system**: monoclinic
**Calculated volume**: 20.757 Å³ per atom
**Final energy**: -48.70 eV/cell
**Symmetry**: No. 8


An optimized crystal structure of TiBTeP. Source: Alexandria via LeMat-Bulk, functional GGA-PBE.

abc: 3.4248 3.7159 5.2735
angles: 93.73 108.94 90.00
With the nearest neighbours (Å) after each atom.
Fractional positions:
1 B 0.8885 0.2737 0.2298  2 P 2.10, 1 Te 2.27
2 Ti 0.0468 0.8230 0.5448  2 B 2.37-2.49, 2 P 2.55
3 P 0.3658 0.9483 0.1828  2 B 2.10
4 Te 0.6654 0.3535 0.7822  1 B 2.27

Properties
**Magnetization**: 0.000 μB per atom
**E_form (uncorrected)**: -104 meV per atom
**Offset from the most stable computed form**: 1.255 eV per formula unit
**Crystal system**: monoclinic
**Calculated volume**: 15.833 Å³ per atom
**Final energy**: -23.54 eV/cell
**Symmetry**: No. 8


An optimized crystal structure of TiBTeP. Source: Alexandria via LeMat-Bulk, functional GGA-PBE.

abc: 3.3114 3.3116 7.9339
angles: 102.14 89.91 120.00
With the nearest neighbours (Å) after each atom.
Fractional positions:
1 P 0.0232 0.9116 0.1651  3 B 1.98
2 B 0.3789 0.6236 0.2328  3 P 1.98
3 Ti 0.7753 0.4179 0.4234  3 B 2.41
4 Te 0.5275 0.9242 0.6818  3 Ti 2.76

Properties
**Magnetization**: 0.000 μB per atom
**E_form (uncorrected)**: -350 meV per atom
**Offset from the most stable computed form**: 0.271 eV per formula unit
**Crystal system**: monoclinic
**Calculated volume**: 18.278 Å³ per atom
**Final energy**: -24.52 eV/cell
**Symmetry**: No. 8


An optimized crystal structure of TiBTeP. Source: Alexandria via LeMat-Bulk, functional GGA-PBE.

abc: 3.4001 3.4001 19.4256
angles: 90.00 90.00 120.00
With the nearest neighbours (Å) after each atom.
Fractional positions:
1 B 0.0000 0.0000 0.5813  3 P 2.06, 1 Te 2.30
2 B 0.6667 0.3333 0.9146  3 P 2.06, 1 Te 2.30
3 P 0.3333 0.6667 0.6132  3 B 2.06
4 Te 0.6667 0.3333 0.7962  1 B 2.30
5 Te 0.3333 0.6667 0.1296  1 B 2.30
6 P 0.0000 0.0000 0.9465  3 B 2.06
7 Te 0.0000 0.0000 0.4629  1 B 2.30
8 P 0.6667 0.3333 0.2798  3 B 2.06
9 B 0.3333 0.6667 0.2479  3 P 2.06, 1 Te 2.30
10 Ti 0.0000 0.0000 0.7025  1 B 2.35, 3 P 2.62
11 Ti 0.3333 0.6667 0.3691  1 B 2.35, 3 P 2.62
12 Ti 0.6667 0.3333 0.0358  1 B 2.35, 3 P 2.62

Properties
**Magnetization**: 0.000 μB per atom
**E_form (uncorrected)**: -257 meV per atom
**Offset from the most stable computed form**: 0.641 eV per formula unit
**Crystal system**: trigonal
**Calculated volume**: 16.207 Å³ per atom
**Final energy**: -72.45 eV/cell
**Symmetry**: No. 160